[1]
The following is a meta-GGA SCAN calculation of a PBEsol-optimized structure of Eu2Mn3Sb3O14, from Alexandria via LeMat-Bulk.

Properties
E_form (uncorrected) ... -2.08 eV per atom
ρ ... 6.83 Mg/m³
Magnetization ... 3.01 μB/cell

Lattice parameters (Å, degrees): 7.1395 7.1395 7.1387 59.94 59.94 60.15
Last column: magnetic moment on the atom in μB.
Sites, in units of the cell vectors:
O 0.4237 0.8346 0.4184  0.02
O 0.1353 0.1353 0.1148  0.00
O 0.8647 0.8647 0.8852  0.00
O 0.1780 0.1780 0.5766  0.05
O 0.8199 0.4293 0.8206  -0.01
O 0.8220 0.8220 0.4234  0.05
O 0.1654 0.5763 0.5816  0.02
O 0.1801 0.5707 0.1794  -0.01
O 0.5766 0.5766 0.1661  -0.01
O 0.5707 0.1801 0.1794  -0.01
O 0.8346 0.4237 0.4184  0.02
O 0.4234 0.4234 0.8339  -0.01
O 0.4293 0.8199 0.8206  -0.01
O 0.5763 0.1654 0.5816  0.02
Sb 0.0000 0.5000 0.0000  0.00
Sb 0.5000 0.0000 0.0000  0.00
Sb 0.5000 0.5000 0.5000  0.00
Mn 0.0000 0.5000 0.5000  2.74
Mn 0.5000 0.0000 0.5000  2.74
Mn 0.5000 0.5000 0.0000  -2.63
Eu 0.0000 0.0000 0.5000  -6.46
Eu 0.0000 0.0000 0.0000  6.45

[2]
The following is a meta-GGA SCAN calculation of a PBEsol-optimized structure of MnZn2Fe, from Alexandria via LeMat-Bulk.

Properties
Relative energy among the computed polymorphs ... 0.044 eV/f.u.
ΔE_f ... -117 meV/atom
ρ ... 8.16 Mg/m³
Magnetization ... 5.60 μB/cell

Lattice parameters (Å, degrees): 2.6103 4.4584 4.4584 108.64 90.00 90.00
Last column: magnetic moment on the atom in μB.
Sites, in units of the cell vectors:
Mn 0.5000 0.0000 0.0000  3.28
Zn 0.0000 0.0000 0.5000  -0.11
Zn 0.0000 0.5000 0.0000  -0.11
Fe 0.5000 0.5000 0.5000  2.58

[3]
The following is a meta-GGA SCAN calculation of a PBEsol-optimized structure of CuPt, from Alexandria via LeMat-Bulk.

Properties
ΔE_f ... -133 meV/atom
ρ ... 16.13 Mg/m³
Magnetization ... 0.00 μB/cell

Lattice parameters (Å, degrees): 4.6153 4.6383 5.3032 72.22 89.52 80.53
Sites, in units of the cell vectors:
Cu 0.3738 0.2448 0.3147
Cu 0.1222 0.7496 0.4381
Cu 0.8778 0.2504 0.5619
Cu 0.6262 0.7552 0.6853
Pt 0.3791 0.2566 0.7954
Pt 0.6209 0.7434 0.2046
Pt 0.8774 0.2482 0.0702
Pt 0.1226 0.7518 0.9298

[4]
The following is a meta-GGA SCAN calculation of a PBEsol-optimized structure of Ba2AlFe, from Alexandria via LeMat-Bulk.

Properties
ΔE_f ... 251 meV/atom
ρ ... 5.07 Mg/m³
Magnetization ... 2.02 μB/cell

Lattice parameters (Å, degrees): 3.5197 3.5197 9.4505 90.00 90.00 90.00
Last column: magnetic moment on the atom in μB.
Sites, in units of the cell vectors:
Ba 0.5000 0.5000 0.3306  -0.12
Ba 0.0000 0.0000 0.9184  -0.06
Al 0.5000 0.5000 0.6612  -0.05
Fe 0.0000 0.0000 0.5898  2.65

[5]
The following is a meta-GGA SCAN calculation of a PBEsol-optimized structure of Ta2V3Cu, from Alexandria via LeMat-Bulk.

Properties
ΔE_f ... -39 meV/atom
ρ ... 11.22 Mg/m³
Magnetization ... 0.00 μB/cell

Lattice parameters (Å, degrees): 4.8800 4.8800 8.2959 90.00 90.00 120.00
Sites, in units of the cell vectors:
Cu 0.0000 0.0000 0.0000
Cu 0.0000 0.0000 0.5000
V 0.1731 0.3462 0.7500
V 0.1731 0.8269 0.7500
V 0.8269 0.6538 0.2500
V 0.8269 0.1731 0.2500
V 0.6538 0.8269 0.7500
V 0.3462 0.1731 0.2500
Ta 0.6667 0.3333 0.5589
Ta 0.3333 0.6667 0.0589
Ta 0.6667 0.3333 0.9411
Ta 0.3333 0.6667 0.4411

[6]
The following is a meta-GGA SCAN calculation of a PBEsol-optimized structure of Ni2OsAu, from Alexandria via LeMat-Bulk.

Properties
Relative energy among the computed polymorphs ... 0.000 eV/f.u.
ΔE_f ... 136 meV/atom
ρ ... 16.20 Mg/m³
Magnetization ... 0.00 μB/cell

Lattice parameters (Å, degrees): 2.6696 2.6696 7.2594 90.00 90.00 90.00
Sites, in units of the cell vectors:
Ni 0.0000 0.0000 0.2334
Ni 0.0000 0.0000 0.7666
Au 0.5000 0.5000 0.5000
Os 0.5000 0.5000 0.0000

[7]
The following is a meta-GGA SCAN calculation of a PBEsol-optimized structure of KBa2Cl2, from Alexandria via LeMat-Bulk.

Properties
E_form (uncorrected) ... -1.57 eV per atom
ρ ... 2.80 Mg/m³
Magnetization ... 0.00 μB/cell

Lattice parameters (Å, degrees): 5.4331 5.4331 8.6282 108.35 108.35 90.00
Sites, in units of the cell vectors:
K 0.0000 0.0000 0.0000
Ba 0.6502 0.6502 0.3004
Ba 0.3498 0.3498 0.6996
Cl 0.7500 0.2500 0.5000
Cl 0.2500 0.7500 0.5000

[8]
The following is a meta-GGA SCAN calculation of a PBEsol-optimized structure of KFe2Ni, from Alexandria via LeMat-Bulk.

Properties
Relative energy among the computed polymorphs ... 2.154 eV/f.u.
ΔE_f ... 1142 meV/atom
ρ ... 5.95 Mg/m³
Magnetization ... 6.25 μB/cell

Lattice parameters (Å, degrees): 2.5991 4.6829 4.8040 90.00 90.00 90.00
Last column: magnetic moment on the atom in μB.
Sites, in units of the cell vectors:
Fe 0.5000 0.5000 0.0000  3.00
Fe 0.0000 0.0000 0.0000  2.95
K 0.5000 0.0000 0.5000  -0.06
Ni 0.0000 0.5000 0.5000  0.72